No. 1
The following is a GGA-PBE calculation of BaWN3 after structural relaxation, from Alexandria.

abc: 12.9953 12.9953 12.9953
angles: 164.57 164.57 21.89
Fractional positions:
1 Ba 0.0000 0.0000 0.0000
2 Ba 0.7500 0.2500 0.5000
3 W 0.1308 0.6308 0.5000
4 W 0.3692 0.8692 0.5000
5 N 0.3302 0.3302 0.0000
6 N 0.4158 0.1010 0.3148
7 N 0.6698 0.6698 0.0000
8 N 0.7862 0.1010 0.6852
9 N 0.8990 0.2138 0.3148
10 N 0.8990 0.5842 0.6852

Calculated values
Formation energy (no corrections) in eV/atom: 0.064
SG: I-4m2 (119)

No. 2
The following is a GGA-PBE calculation of KRbBr2F6 after structural relaxation, from Alexandria.

abc: 7.8001 7.8001 7.8276
angles: 102.96 102.96 105.19
Fractional positions:
1 K 0.0584 0.9416 0.7500
2 K 0.9416 0.0584 0.2500
3 Rb 0.2826 0.7174 0.2500
4 Rb 0.7174 0.2826 0.7500
5 Br 0.2355 0.4735 0.6981
6 Br 0.4735 0.2355 0.1981
7 Br 0.5265 0.7645 0.8019
8 Br 0.7645 0.5265 0.3019
9 F 0.0014 0.7884 0.3904
10 F 0.0998 0.6093 0.8268
11 F 0.2116 0.9986 0.1096
12 F 0.3367 0.3656 0.0712
13 F 0.3656 0.3367 0.5712
14 F 0.3907 0.9002 0.6732
15 F 0.6093 0.0998 0.3268
16 F 0.6344 0.6633 0.4288
17 F 0.6633 0.6344 0.9288
18 F 0.7884 0.0014 0.8904
19 F 0.9002 0.3907 0.1732
20 F 0.9986 0.2116 0.6096

Calculated values
Formation energy (no corrections) in eV/atom: -1.650
SG: C2/c (15)

No. 3
The following is a GGA-PBE calculation of CeRh after structural relaxation, from Alexandria.

abc: 7.4117 4.0706 5.7899
angles: 90.00 90.00 90.00
Fractional positions:
1 Ce 0.1755 0.2500 0.1606
2 Ce 0.3245 0.7500 0.6606
3 Ce 0.6755 0.2500 0.3394
4 Ce 0.8245 0.7500 0.8394
5 Rh 0.0595 0.2500 0.6717
6 Rh 0.4405 0.7500 0.1717
7 Rh 0.5595 0.2500 0.8283
8 Rh 0.9405 0.7500 0.3283

Calculated values
SG: Pnma (62)
Energy relative to the elements in kJ/mol of atoms: -72.8

No. 4
The following is a GGA-PBE calculation of Sm2Dy3HoBi6 after structural relaxation, from Alexandria.

abc: 10.0611 10.0611 9.0019
angles: 102.87 102.87 25.85
Fractional positions:
1 Sm 0.1661 0.1661 0.3326
2 Sm 0.8339 0.8339 0.6674
3 Dy 0.1677 0.1677 0.8335
4 Dy 0.5000 0.5000 0.5000
5 Dy 0.8323 0.8323 0.1665
6 Ho 0.5000 0.5000 0.0000
7 Bi 0.0019 0.0019 0.7518
8 Bi 0.3344 0.3344 0.4138
9 Bi 0.3341 0.3341 0.9212
10 Bi 0.6659 0.6659 0.0788
11 Bi 0.6656 0.6656 0.5862
12 Bi 0.9981 0.9981 0.2482

Calculated values
SG: C2/m (12)
Energy relative to the elements in kJ/mol of atoms: -84.5

No. 5
The following is a GGA-PBE calculation of Pu2ZnSb after structural relaxation, from Alexandria.

abc: 3.5528 3.5528 7.8101
angles: 90.00 90.00 90.00
Fractional positions:
1 Pu 0.0000 0.0000 0.2388
2 Pu 0.0000 0.0000 0.7612
3 Zn 0.5000 0.5000 0.0000
4 Sb 0.5000 0.5000 0.5000

Calculated values
Formation energy (no corrections) in eV/atom: -0.270
SG: P4/mmm (123)

No. 6
The following is a GGA-PBE calculation of SrY2Mg after structural relaxation, from Alexandria.

abc: 3.7720 3.7720 9.6259
angles: 90.00 90.00 90.00
Fractional positions:
1 Sr 0.0000 0.0000 0.0000
2 Y 0.0000 0.0000 0.5440
3 Y 0.5000 0.5000 0.3074
4 Mg 0.5000 0.5000 0.7455

Calculated values
SG: P4mm (99)
Energy relative to the elements in kJ/mol of atoms: 2.7

No. 7
The following is a GGA-PBE calculation of CoMoSe after structural relaxation, from Alexandria.

abc: 3.0491 3.0491 9.3561
angles: 90.00 90.00 90.00
Fractional positions:
1 Co 0.0000 0.0000 0.0000
2 Co 0.5000 0.5000 0.5000
3 Mo 0.0000 0.0000 0.3299
4 Mo 0.0000 0.0000 0.6701
5 Se 0.5000 0.5000 0.1713
6 Se 0.5000 0.5000 0.8287

Calculated values
Formation energy (no corrections) in eV/atom: 0.165
SG: P4/mmm (123)

No. 8
The following is a GGA-PBE calculation of Er3Sb2Se2 after structural relaxation, from Alexandria.

abc: 8.1005 8.1005 7.5368
angles: 115.53 115.53 29.76
Fractional positions:
1 Er 0.0000 0.0000 0.0000
2 Er 0.2696 0.2696 0.2448
3 Er 0.7304 0.7304 0.7552
4 Sb 0.3698 0.3698 0.7008
5 Sb 0.6302 0.6302 0.2992
6 Se 0.1324 0.1324 0.8321
7 Se 0.8676 0.8676 0.1679

Calculated values
Formation energy (no corrections) in eV/atom: -1.249
SG: C2/m (12)

no.,total DFT energy (no corrections) (eV per atom)
1,-7.907
2,-3.314
3,-7.397
4,-5.135
5,-8.785
6,-4.023
7,-6.975
8,-5.378